! PBE Cs5Ge4Sb2, optimized geometry; values from VASP
&SYSTEM
  ibrav = 0, nat = 11, ntyp = 3
/
ATOMIC_SPECIES
Cs 132.91 Cs.upf
Ge 72.64 Ge.upf
Sb 121.76 Sb.upf
CELL_PARAMETERS angstrom
6.8208 0.0000 0.0000
3.4104 6.6153 -0.3343
3.4104 2.2769 13.1807
ATOMIC_POSITIONS crystal
Cs 0.1719 0.2802 0.8746
Cs 0.8281 0.7198 0.1254
Cs 0.0000 0.5000 0.5000
Cs 0.6733 0.2802 0.8746
Cs 0.3267 0.7198 0.1254
Ge 0.2652 0.1731 0.2965
Ge 0.7348 0.8269 0.7035
Ge 0.6709 0.7807 0.8775
Ge 0.3291 0.2193 0.1225
Sb 0.2007 0.7975 0.8011
Sb 0.7993 0.2025 0.1989
! * ρ: 3.318 g/cm³
! * formation energy from raw total energies: 0.16 eV/atom
! * V: 54.5 Å³ per atom